No. 1
{
  "formula": "RbTe2Ir",
  "functional": "GGA-PBE",
  "state": "optimized geometry",
  "lattice": [[2.0870, 1.2049, 7.9683], [-2.0870, 1.2049, 7.9683], [0.0000, -2.4099, 7.9683]],
  "species": ["Rb", "Te", "Te", "Ir"],
  "fractional_positions": [[0.0000, 0.0000, 0.0000], [0.2194, 0.2194, 0.2194], [0.7806, 0.7806, 0.7806], [0.5000, 0.5000, 0.5000]],
  "m_tot_mub_per_fu": 0.000,
  "e_form_raw_ev_per_atom": -0.499,
  "sg": "No. 166"
}



No. 2
{
  "formula": "RbTe2Ir",
  "functional": "GGA-PBE",
  "state": "optimized geometry",
  "lattice": [[-4.1460, 4.1460, 3.9529], [4.1460, -4.1460, 3.9529], [4.1460, 4.1460, -3.9529]],
  "species": ["Rb", "Rb", "Te", "Te", "Te", "Te", "Ir", "Ir"],
  "fractional_positions": [[0.0000, 0.0000, 0.0000], [0.7500, 0.2500, 0.5000], [0.2355, 0.6250, 0.1105], [0.3750, 0.4855, 0.6105], [0.5145, 0.1250, 0.8895], [0.8750, 0.7645, 0.3895], [0.2500, 0.7500, 0.5000], [0.5000, 0.5000, 0.0000]],
  "m_tot_mub_per_fu": 0.000,
  "e_form_raw_ev_per_atom": -0.335,
  "sg": "No. 122"
}



No. 3
{
  "formula": "RbTe8Ir5",
  "functional": "GGA-PBE",
  "state": "optimized geometry",
  "lattice": [[10.4265, -2.0408, 0.0000], [10.4265, 2.0408, 0.0000], [-2.3823, 0.0000, 8.8733]],
  "species": ["Rb", "Te", "Te", "Te", "Te", "Te", "Te", "Te", "Te", "Ir", "Ir", "Ir", "Ir", "Ir"],
  "fractional_positions": [[0.0000, 0.0000, 0.0000], [0.0720, 0.0720, 0.6510], [0.2605, 0.2605, 0.3503], [0.3215, 0.3215, 0.0228], [0.4098, 0.4098, 0.6598], [0.5910, 0.5910, 0.3401], [0.6793, 0.6793, 0.9772], [0.7403, 0.7403, 0.6496], [0.9289, 0.9289, 0.3491], [0.1612, 0.1612, 0.4862], [0.2071, 0.2071, 0.8138], [0.5004, 0.5004, 0.5000], [0.7937, 0.7937, 0.1862], [0.8396, 0.8396, 0.5138]],
  "m_tot_mub_per_fu": 0.000,
  "e_form_raw_ev_per_atom": -0.270,
  "sg": "No. 8"
}



No. 4
{
  "formula": "Rb2TiIr",
  "functional": "GGA-PBE",
  "state": "optimized geometry",
  "lattice": [[-6.6123, 6.6123, 2.2748], [6.6123, -6.6123, 2.2748], [6.6123, 6.6123, -2.2748]],
  "species": ["Rb", "Rb", "Rb", "Rb", "Ti", "Ti", "Ir", "Ir"],
  "fractional_positions": [[0.3750, 0.2063, 0.3313], [0.7937, 0.1250, 0.1687], [0.8750, 0.0437, 0.6687], [0.9563, 0.6250, 0.8313], [0.2500, 0.7500, 0.5000], [0.5000, 0.5000, 0.0000], [0.0000, 0.0000, 0.0000], [0.7500, 0.2500, 0.5000]],
  "formation_enthalpy_0k_kcal_per_mol_atoms": 16.88,
  "m_tot_mub_per_fu": 0.000,
  "sg": "No. 122",
  "relative_energy_mev_per_atom": 0.0
}



No. 5
{
  "formula": "RbTi2Ir",
  "functional": "GGA-PBE",
  "state": "optimized geometry",
  "lattice": [[0.0000, 3.3465, 3.3465], [3.3465, 0.0000, 3.3465], [3.3465, 3.3465, 0.0000]],
  "species": ["Rb", "Ti", "Ti", "Ir"],
  "fractional_positions": [[0.0000, 0.0000, 0.0000], [0.2500, 0.2500, 0.2500], [0.7500, 0.7500, 0.7500], [0.5000, 0.5000, 0.5000]],
  "formation_enthalpy_0k_kcal_per_mol_atoms": 17.48,
  "m_tot_mub_per_fu": 0.870,
  "sg": "No. 225",
  "relative_energy_mev_per_atom": 0.0
}



No. 6
{
  "formula": "Rb3TiIr",
  "functional": "GGA-PBE",
  "state": "optimized geometry",
  "lattice": [[6.3949, 0.0000, 0.0000], [0.0000, 6.3949, 0.0000], [0.0000, 0.0000, 6.3949]],
  "species": ["Rb", "Rb", "Rb", "Ti", "Ir"],
  "fractional_positions": [[0.0000, 0.0000, 0.5000], [0.0000, 0.5000, 0.0000], [0.5000, 0.0000, 0.0000], [0.5000, 0.5000, 0.5000], [0.0000, 0.0000, 0.0000]],
  "formation_enthalpy_0k_kcal_per_mol_atoms": 33.26,
  "m_tot_mub_per_fu": 3.771,
  "sg": "No. 221",
  "relative_energy_mev_per_atom": 0.0
}